No. 1
! InSn6Pb2 PBE relaxed; values from VASP
&SYSTEM
  ibrav = 0, nat = 9, ntyp = 3
/
ATOMIC_SPECIES
Sn 118.71 Sn.upf
In 114.82 In.upf
Pb 207.20 Pb.upf
ATOMIC_POSITIONS crystal
Sn 0.679 0.629 0.185
Sn 0.680 0.185 0.185
Sn 0.321 0.371 0.815
Sn 0.679 0.185 0.629
Sn 0.320 0.815 0.815
Sn 0.321 0.815 0.371
In 0.000 0.000 0.000
Pb 0.190 0.332 0.332
Pb 0.810 0.668 0.668
CELL_PARAMETERS angstrom
-1.177 -3.848 -4.630
1.754 -5.500 4.121
-4.948 -3.221 3.931
! energy above the lowest structure with this stoichiometry = 17 meV/atom
! formation energy = 0.06 eV per atom
! total moment = 0.00 μB per cell
! DOS at the Fermi energy = 0.3132 states/eV per atom
! space group = C2/m

---

No. 2
! NdEuTe2 PBE relaxed; values from VASP
&SYSTEM
  ibrav = 0, nat = 4, ntyp = 3
/
ATOMIC_SPECIES
Eu 151.96 Eu.upf
Te 127.60 Te.upf
Nd 144.24 Nd.upf
ATOMIC_POSITIONS crystal
Eu 0.000 0.000 0.000
Te 0.250 0.250 0.250
Te 0.750 0.750 0.750
Nd 0.500 0.500 0.500
CELL_PARAMETERS angstrom
-2.687 -0.850 -4.782
-3.051 -4.586 -0.693
-5.537 0.350 -0.172
! energy above the lowest structure with this stoichiometry = 203 meV/atom
! total moment = 7.92 μB per cell
! ΔE_f (raw) = -130.5 kJ/mol of atoms
! DOS at the Fermi energy = 0.9779 states/eV per atom
! space group = Fm-3m

---

No. 3
! TbTmSc2Rh4 PBE relaxed; values from VASP
&SYSTEM
  ibrav = 0, nat = 8, ntyp = 4
/
ATOMIC_SPECIES
Rh 102.91 Rh.upf
Sc 44.96 Sc.upf
Tb 158.93 Tb.upf
Tm 168.93 Tm.upf
ATOMIC_POSITIONS crystal
Rh 0.376 0.376 0.872
Rh 0.126 0.126 0.622
Rh 0.624 0.624 0.128
Rh 0.874 0.874 0.378
Sc 0.751 0.751 0.747
Sc 0.249 0.249 0.253
Tb 0.000 0.000 0.000
Tm 0.500 0.500 0.500
CELL_PARAMETERS angstrom
4.700 0.000 0.000
2.350 4.070 0.000
2.350 1.357 7.673
! formation energy = -0.94 eV per atom
! total moment = 0.00 μB per cell
! DOS at the Fermi energy = 0.3874 states/eV per atom
! space group = R-3m

---

No. 4
! PmCdBiSb PBE relaxed; values from VASP
&SYSTEM
  ibrav = 0, nat = 4, ntyp = 4
/
ATOMIC_SPECIES
Cd 112.41 Cd.upf
Sb 121.76 Sb.upf
Bi 208.98 Bi.upf
Pm 145.00 Pm.upf
ATOMIC_POSITIONS crystal
Cd 0.500 0.500 0.500
Sb 0.250 0.250 0.250
Bi 0.750 0.750 0.750
Pm 0.000 0.000 0.000
CELL_PARAMETERS angstrom
-1.550 4.642 2.405
-4.990 0.418 2.159
-0.622 0.191 5.414
! total moment = 0.00 μB per cell
! ΔE_f (raw) = -25.0 kJ/mol of atoms
! DOS at the Fermi energy = 0.9266 states/eV per atom
! space group = F-43m

---

No. 5
! Y2CdH PBE relaxed; values from VASP
&SYSTEM
  ibrav = 0, nat = 4, ntyp = 3
/
ATOMIC_SPECIES
Y 88.91 Y.upf
Cd 112.41 Cd.upf
H 1.01 H.upf
ATOMIC_POSITIONS crystal
Y 0.274 0.274 0.177
Y 0.726 0.726 0.823
Cd 0.500 0.500 0.500
H 0.000 0.000 0.000
CELL_PARAMETERS angstrom
3.622 0.000 0.000
1.811 3.137 0.000
1.811 1.046 7.741
! energy above the lowest structure with this stoichiometry = 23 meV/atom
! total moment = 0.00 μB per cell
! DOS at the Fermi energy = 0.8584 states/eV per atom
! space group = R-3m

---

No. 6
! NiGe2Pd PBE relaxed; values from VASP
&SYSTEM
  ibrav = 0, nat = 4, ntyp = 3
/
ATOMIC_SPECIES
Ge 72.64 Ge.upf
Pd 106.42 Pd.upf
Ni 58.69 Ni.upf
ATOMIC_POSITIONS crystal
Ge 0.750 0.750 0.750
Ge 0.250 0.250 0.250
Pd 0.500 0.500 0.500
Ni 0.000 0.000 0.000
CELL_PARAMETERS angstrom
0.000 3.093 3.093
3.093 0.000 3.093
3.093 3.093 0.000
! energy above the lowest structure with this stoichiometry = 254 meV/atom
! formation energy = -0.12 eV per atom
! total moment = 0.00 μB per cell
! DOS at the Fermi energy = 0.5267 states/eV per atom
! space group = Fm-3m

---

No. 7
! Sr2CuAg PBE relaxed; values from VASP
&SYSTEM
  ibrav = 0, nat = 4, ntyp = 3
/
ATOMIC_SPECIES
Sr 87.62 Sr.upf
Ag 107.87 Ag.upf
Cu 63.55 Cu.upf
ATOMIC_POSITIONS crystal
Sr 0.995 0.995 0.017
Sr 0.505 0.505 0.483
Ag 0.750 0.750 0.750
Cu 0.250 0.250 0.250
CELL_PARAMETERS angstrom
-0.548 0.972 -4.354
2.474 -2.143 -3.081
-4.675 -5.784 -3.049
! formation energy = -0.02 eV per atom
! total moment = 0.00 μB per cell
! DOS at the Fermi energy = 0.9515 states/eV per atom
! space group = C2/m

---

No. 8
! La3TlN PBE relaxed; values from VASP
&SYSTEM
  ibrav = 0, nat = 5, ntyp = 3
/
ATOMIC_SPECIES
N 14.01 N.upf
La 138.91 La.upf
Tl 204.38 Tl.upf
ATOMIC_POSITIONS crystal
N 0.804 0.804 0.804
La 0.528 0.015 0.015
La 0.015 0.528 0.015
La 0.015 0.015 0.528
Tl 0.512 0.512 0.512
CELL_PARAMETERS angstrom
4.448 0.000 3.019
-2.224 3.852 3.019
-2.224 -3.852 3.019
! total moment = 0.00 μB per cell
! ΔE_f (raw) = -44.0 kJ/mol of atoms
! DOS at the Fermi energy = 1.2178 states/eV per atom
! space group = R3m

---

No. 9
! Cs3Hg2Sb PBE relaxed; values from VASP
&SYSTEM
  ibrav = 0, nat = 24, ntyp = 3
/
ATOMIC_SPECIES
Sb 121.76 Sb.upf
Hg 200.59 Hg.upf
Cs 132.91 Cs.upf
ATOMIC_POSITIONS crystal
Sb 0.454 0.845 0.296
Sb 0.546 0.155 0.704
Sb 0.954 0.655 0.796
Sb 0.046 0.345 0.204
Hg 0.231 0.596 0.773
Hg 0.129 0.230 0.059
Hg 0.629 0.270 0.559
Hg 0.871 0.770 0.941
Hg 0.769 0.404 0.227
Hg 0.371 0.730 0.441
Hg 0.269 0.096 0.727
Hg 0.731 0.904 0.273
Cs 0.807 0.946 0.616
Cs 0.693 0.446 0.884
Cs 0.543 0.183 0.290
Cs 0.307 0.554 0.116
Cs 0.754 0.077 0.018
Cs 0.193 0.054 0.384
Cs 0.246 0.923 0.982
Cs 0.457 0.817 0.710
Cs 0.746 0.577 0.482
Cs 0.957 0.683 0.210
Cs 0.254 0.423 0.518
Cs 0.043 0.317 0.790
CELL_PARAMETERS angstrom
8.522 0.000 -4.668
0.000 11.468 0.000
-1.085 0.000 14.567
! total moment = 0.00 μB per cell
! ΔE_f (raw) = -31.3 kJ/mol of atoms
! space group = P2_1/c

---

No. 10
! Sm3Tm5O12 PBE relaxed; values from VASP
&SYSTEM
  ibrav = 0, nat = 80, ntyp = 3
/
ATOMIC_SPECIES
O 16.00 O.upf
Tm 168.93 Tm.upf
Sm 150.36 Sm.upf
ATOMIC_POSITIONS crystal
O 0.411 0.370 0.586
O 0.911 0.825 0.541
O 0.216 0.675 0.086
O 0.586 0.716 0.675
O 0.586 0.870 0.411
O 0.175 0.086 0.716
O 0.414 0.130 0.589
O 0.325 0.784 0.414
O 0.086 0.175 0.216
O 0.959 0.370 0.284
O 0.370 0.411 0.086
O 0.716 0.586 0.175
O 0.870 0.284 0.459
O 0.089 0.175 0.459
O 0.175 0.089 0.959
O 0.589 0.959 0.675
O 0.716 0.130 0.041
O 0.370 0.959 0.784
O 0.130 0.414 0.089
O 0.411 0.041 0.325
O 0.630 0.041 0.216
O 0.459 0.675 0.089
O 0.284 0.414 0.825
O 0.914 0.089 0.630
O 0.041 0.630 0.716
O 0.216 0.541 0.630
O 0.459 0.784 0.870
O 0.086 0.911 0.370
O 0.959 0.589 0.175
O 0.784 0.459 0.370
O 0.911 0.086 0.870
O 0.284 0.870 0.959
O 0.325 0.541 0.411
O 0.541 0.216 0.130
O 0.630 0.589 0.914
O 0.914 0.825 0.784
O 0.784 0.325 0.914
O 0.414 0.284 0.325
O 0.541 0.325 0.911
O 0.589 0.630 0.414
O 0.130 0.716 0.541
O 0.041 0.411 0.825
O 0.825 0.914 0.284
O 0.870 0.586 0.911
O 0.675 0.459 0.589
O 0.675 0.216 0.586
O 0.089 0.914 0.130
O 0.825 0.911 0.041
Tm 0.000 0.000 0.500
Tm 0.250 0.875 0.125
Tm 0.750 0.125 0.875
Tm 0.375 0.125 0.750
Tm 0.500 0.500 0.500
Tm 0.500 0.000 0.500
Tm 0.750 0.625 0.375
Tm 0.000 0.500 0.500
Tm 0.000 0.000 0.000
Tm 0.500 0.500 0.000
Tm 0.500 0.000 0.000
Tm 0.250 0.375 0.625
Tm 0.875 0.250 0.625
Tm 0.125 0.375 0.250
Tm 0.125 0.750 0.375
Tm 0.000 0.500 0.000
Tm 0.625 0.750 0.875
Tm 0.625 0.875 0.250
Tm 0.375 0.250 0.125
Tm 0.875 0.625 0.750
Sm 0.125 0.250 0.875
Sm 0.625 0.250 0.375
Sm 0.250 0.625 0.875
Sm 0.125 0.875 0.750
Sm 0.750 0.875 0.625
Sm 0.750 0.375 0.125
Sm 0.375 0.750 0.625
Sm 0.250 0.125 0.375
Sm 0.875 0.125 0.250
Sm 0.625 0.375 0.750
Sm 0.375 0.625 0.250
Sm 0.875 0.750 0.125
CELL_PARAMETERS angstrom
11.642 0.000 0.000
-3.881 10.976 0.000
-3.881 -5.488 9.506
! total moment = 0.00 μB per cell
! ΔE_f (raw) = -329.9 kJ/mol of atoms
! DOS at the Fermi energy = 0.0000 states/eV per atom
! space group = Ia-3d

---

No. 11
! Ac3Rh6Pb5 PBE relaxed; values from VASP
&SYSTEM
  ibrav = 0, nat = 28, ntyp = 3
/
ATOMIC_SPECIES
Rh 102.91 Rh.upf
Pb 207.20 Pb.upf
Ac 227.00 Ac.upf
ATOMIC_POSITIONS crystal
Rh 0.000 0.601 0.293
Rh 0.000 0.548 0.500
Rh 0.000 0.028 0.500
Rh 0.500 0.452 0.000
Rh 0.500 0.027 0.641
Rh 0.500 0.027 0.359
Rh 0.500 0.972 0.000
Rh 0.500 0.399 0.793
Rh 0.500 0.399 0.207
Rh 0.000 0.973 0.141
Rh 0.000 0.973 0.859
Rh 0.000 0.601 0.707
Pb 0.000 0.494 0.118
Pb 0.500 0.115 0.171
Pb 0.000 0.885 0.671
Pb 0.500 0.506 0.382
Pb 0.500 0.201 0.500
Pb 0.500 0.115 0.829
Pb 0.000 0.494 0.882
Pb 0.000 0.885 0.329
Pb 0.500 0.506 0.618
Pb 0.000 0.799 0.000
Ac 0.500 0.746 0.182
Ac 0.000 0.254 0.682
Ac 0.000 0.202 0.000
Ac 0.500 0.746 0.818
Ac 0.000 0.254 0.318
Ac 0.500 0.798 0.500
CELL_PARAMETERS angstrom
4.569 0.000 0.000
0.000 9.940 0.000
0.000 0.000 14.769
! formation energy = -0.38 eV per atom
! total moment = 0.00 μB per cell
! DOS at the Fermi energy = 0.8453 states/eV per atom
! space group = Pmmn

---

No. 12
! SmZnSb PBE relaxed; values from VASP
&SYSTEM
  ibrav = 0, nat = 6, ntyp = 3
/
ATOMIC_SPECIES
Sb 121.76 Sb.upf
Sm 150.36 Sm.upf
Zn 65.41 Zn.upf
ATOMIC_POSITIONS crystal
Sb 0.987 0.214 0.345
Sb 0.391 0.436 0.088
Sm 0.798 0.839 0.474
Sm 0.581 0.812 0.959
Zn 0.846 0.137 0.781
Zn 0.533 0.514 0.653
CELL_PARAMETERS angstrom
3.937 1.152 0.413
2.805 5.321 -0.459
1.793 -2.040 9.398
! total moment = 0.00 μB per cell
! ΔE_f (raw) = -55.9 kJ/mol of atoms
! DOS at the Fermi energy = 0.5500 states/eV per atom
! space group = P-1